Material: NdUCSe2
Method: DFT, GGA-PBE
State: optimized geometry

The structure in POSCAR format:
```
NdUCSe2
1.0
3.958 0.000 0.000
0.000 3.958 0.000
0.000 0.000 15.024
Nd U C Se
2 2 2 4
Direct
0.250 0.250 0.132 Nd
0.750 0.750 0.868 Nd
0.250 0.250 0.577 U
0.750 0.750 0.423 U
0.250 0.750 0.500 C
0.750 0.250 0.500 C
0.250 0.250 0.322 Se
0.250 0.250 0.914 Se
0.750 0.750 0.086 Se
0.750 0.750 0.678 Se
```

Computed properties:
DFT total energy   -75.2 eV for the cell shown
D(E_F)   0.924 states/eV/atom
ΔE_f (raw)   -103.6 kJ/mol of atoms